Record 1
# PBE Pr3Ho4, relaxed
data_Pr3Ho4
_space_group_name_H-M_alt 'I m m m'
_space_group_IT_number 71
_space_group_name_Hall '-I 2 2'
_cell_length_a 3.6138
_cell_length_b 5.0712
_cell_length_c 25.3093
_cell_angle_alpha 90.00
_cell_angle_beta 90.00
_cell_angle_gamma 90.00
loop_
_atom_site_label
_atom_site_type_symbol
_atom_site_fract_x
_atom_site_fract_y
_atom_site_fract_z
_atom_site_occupancy
Pr1 Pr 0.0000 0.0000 0.0000 1
Pr2 Pr 0.0000 0.0000 0.1432 1
Ho1 Ho 0.0000 0.0000 0.2844 1
Ho2 Ho 0.0000 0.0000 0.4280 1
# ΔE_f: 21 meV per atom

Record 2
# PBE V4Co7Ni6, relaxed
data_V4Co7Ni6
_space_group_name_H-M_alt 'I m -3 m'
_space_group_IT_number 229
_space_group_name_Hall '-I 4 2 3'
_cell_length_a 7.3200
_cell_length_b 7.3200
_cell_length_c 7.3200
_cell_angle_alpha 90.00
_cell_angle_beta 90.00
_cell_angle_gamma 90.00
loop_
_atom_site_label
_atom_site_type_symbol
_atom_site_fract_x
_atom_site_fract_y
_atom_site_fract_z
_atom_site_occupancy
V1 V 0.2500 0.2500 0.2500 1
Co1 Co 0.0000 0.0000 0.0000 1
Co2 Co 0.0000 0.2500 0.5000 1
Ni1 Ni 0.0000 0.0000 0.2976 1
# ΔE_f: 72 meV per atom

Record 3
# PBE Ti2HgTe, relaxed
data_Ti2HgTe
_space_group_name_H-M_alt 'F m -3 m'
_space_group_IT_number 225
_space_group_name_Hall '-F 4 2 3'
_cell_length_a 6.7844
_cell_length_b 6.7844
_cell_length_c 6.7844
_cell_angle_alpha 90.00
_cell_angle_beta 90.00
_cell_angle_gamma 90.00
loop_
_atom_site_label
_atom_site_type_symbol
_atom_site_fract_x
_atom_site_fract_y
_atom_site_fract_z
_atom_site_occupancy
Ti1 Ti 0.2500 0.2500 0.2500 1
Hg1 Hg 0.0000 0.0000 0.0000 1
Te1 Te 0.0000 0.0000 0.5000 1
# formation energy without anion corrections: -0.05 eV per atom
# E above lowest polymorph: 0.000 eV/atom

Record 4
# PBE TlMo2Pt, relaxed
data_TlMo2Pt
_space_group_name_H-M_alt 'R -3 m'
_space_group_IT_number 166
_space_group_name_Hall '-R 3 2"'
_cell_length_a 2.9192
_cell_length_b 2.9192
_cell_length_c 28.3163
_cell_angle_alpha 90.00
_cell_angle_beta 90.00
_cell_angle_gamma 120.00
loop_
_atom_site_label
_atom_site_type_symbol
_atom_site_fract_x
_atom_site_fract_y
_atom_site_fract_z
_atom_site_occupancy
Tl1 Tl 0.0000 0.0000 0.0000 1
Mo1 Mo 0.0000 0.0000 0.2452 1
Pt1 Pt 0.0000 0.0000 0.5000 1
# ΔE_f: 454 meV per atom
# E above lowest polymorph: 0.191 eV/atom

Record 5
# PBE NiBiSe, relaxed
data_NiBiSe
_space_group_name_H-M_alt 'P -1'
_space_group_IT_number 2
_cell_length_a 3.7550
_cell_length_b 6.3160
_cell_length_c 6.4328
_cell_angle_alpha 115.66
_cell_angle_beta 106.86
_cell_angle_gamma 90.02
loop_
_space_group_symop_operation_xyz
'x,y,z'
'-x,-y,-z'
loop_
_atom_site_label
_atom_site_type_symbol
_atom_site_fract_x
_atom_site_fract_y
_atom_site_fract_z
_atom_site_occupancy
Ni1 Ni 0.2386 0.2933 0.4772 1
Bi1 Bi 0.1338 0.8098 0.2656 1
Se1 Se 0.3814 0.7002 0.7646 1
# formation energy without anion corrections: -0.21 eV per atom

Record 6
# PBE LaDyEr2Tm2, relaxed
data_LaDyEr2Tm2
_space_group_name_H-M_alt 'P n n m'
_space_group_IT_number 58
_cell_length_a 6.5118
_cell_length_b 17.7690
_cell_length_c 3.3748
_cell_angle_alpha 90.00
_cell_angle_beta 90.00
_cell_angle_gamma 90.00
loop_
_space_group_symop_operation_xyz
'x,y,z'
'-x,-y,-z'
'-x,-y,z'
'x,y,-z'
'x+1/2,-y+1/2,-z+1/2'
'-x+1/2,y+1/2,z+1/2'
'-x+1/2,y+1/2,-z+1/2'
'x+1/2,-y+1/2,z+1/2'
loop_
_atom_site_label
_atom_site_type_symbol
_atom_site_fract_x
_atom_site_fract_y
_atom_site_fract_z
_atom_site_occupancy
La1 La 0.0000 0.0000 0.0000 1
Dy1 Dy 0.0000 0.5000 0.0000 1
Er1 Er 0.2144 0.3509 0.5000 1
Tm1 Tm 0.2173 0.1873 0.0000 1
# ΔE_f: 286 meV per atom

Record 7
# PBE Li2MgTl, relaxed
data_Li2MgTl
_space_group_name_H-M_alt 'P 1 2/m 1'
_space_group_IT_number 10
_cell_length_a 3.4146
_cell_length_b 3.6454
_cell_length_c 6.5087
_cell_angle_alpha 90.00
_cell_angle_beta 90.48
_cell_angle_gamma 90.00
loop_
_space_group_symop_operation_xyz
'x,y,z'
'-x,-y,-z'
'-x,y,-z'
'x,-y,z'
loop_
_atom_site_label
_atom_site_type_symbol
_atom_site_fract_x
_atom_site_fract_y
_atom_site_fract_z
_atom_site_occupancy
Li1 Li 0.0014 0.0000 0.2387 1
Mg1 Mg 0.5000 0.5000 0.5000 1
Tl1 Tl 0.5000 0.5000 0.0000 1
# ΔE_f: -162 meV per atom

Record 8
# PBE BePtPb2, relaxed
data_BePtPb2
_space_group_name_H-M_alt 'P 1 2/m 1'
_space_group_IT_number 10
_cell_length_a 3.7238
_cell_length_b 3.4759
_cell_length_c 6.6871
_cell_angle_alpha 90.00
_cell_angle_beta 101.91
_cell_angle_gamma 90.00
loop_
_space_group_symop_operation_xyz
'x,y,z'
'-x,-y,-z'
'-x,y,-z'
'x,-y,z'
loop_
_atom_site_label
_atom_site_type_symbol
_atom_site_fract_x
_atom_site_fract_y
_atom_site_fract_z
_atom_site_occupancy
Be1 Be 0.0000 0.0000 0.0000 1
Pt1 Pt 0.0000 0.0000 0.5000 1
Pb1 Pb 0.4521 0.5000 0.2504 1
# ΔE_f: 373 meV per atom

Record 9
# PBE SmNbH, relaxed
data_SmNbH
_space_group_name_H-M_alt 'P -6 m 2'
_space_group_IT_number 187
_space_group_name_Hall 'P -6 2'
_cell_length_a 3.2814
_cell_length_b 3.2814
_cell_length_c 10.9689
_cell_angle_alpha 90.00
_cell_angle_beta 90.00
_cell_angle_gamma 120.00
loop_
_atom_site_label
_atom_site_type_symbol
_atom_site_fract_x
_atom_site_fract_y
_atom_site_fract_z
_atom_site_occupancy
Sm1 Sm 0.0000 0.0000 0.1503 1
Nb1 Nb 0.3333 0.6667 0.3862 1
H1 H 0.0000 0.0000 0.5000 1
H2 H 0.3333 0.6667 0.0000 1
# DFT total energy: -35.21 eV per cell

Record 10
# PBE Nd2TaSi4Pt3, relaxed
data_Nd2TaSi4Pt3
_space_group_name_H-M_alt 'P -4 m 2'
_space_group_IT_number 115
_cell_length_a 4.2362
_cell_length_b 4.2362
_cell_length_c 10.3026
_cell_angle_alpha 90.00
_cell_angle_beta 90.00
_cell_angle_gamma 90.00
loop_
_space_group_symop_operation_xyz
'x,y,z'
'y,-x,-z'
'-x,-y,z'
'-y,x,-z'
'-x,y,z'
'-y,-x,-z'
'x,-y,z'
'y,x,-z'
loop_
_atom_site_label
_atom_site_type_symbol
_atom_site_fract_x
_atom_site_fract_y
_atom_site_fract_z
_atom_site_occupancy
Nd1 Nd 0.0000 0.5000 0.2374 1
Ta1 Ta 0.0000 0.0000 0.5000 1
Si1 Si 0.0000 0.0000 0.0000 1
Si2 Si 0.0000 0.5000 0.6441 1
Si3 Si 0.5000 0.5000 0.0000 1
Pt1 Pt 0.0000 0.5000 0.8826 1
Pt2 Pt 0.5000 0.5000 0.5000 1
# formation energy without anion corrections: -0.97 eV per atom

Record 11
# PBE Rb2AuClO, relaxed
data_Rb2AuClO
_space_group_name_H-M_alt 'P 4/m m m'
_space_group_IT_number 123
_space_group_name_Hall '-P 4 2'
_cell_length_a 5.8951
_cell_length_b 5.8951
_cell_length_c 4.0454
_cell_angle_alpha 90.00
_cell_angle_beta 90.00
_cell_angle_gamma 90.00
loop_
_atom_site_label
_atom_site_type_symbol
_atom_site_fract_x
_atom_site_fract_y
_atom_site_fract_z
_atom_site_occupancy
Rb1 Rb 0.0000 0.5000 0.0000 1
Au1 Au 0.0000 0.0000 0.5000 1
Cl1 Cl 0.5000 0.5000 0.5000 1
O1 O 0.0000 0.0000 0.0000 1
# formation energy without anion corrections: -1.15 eV per atom

Record 12
# PBE GaReGe2, relaxed
data_GaReGe2
_space_group_name_H-M_alt 'R -3 m'
_space_group_IT_number 166
_space_group_name_Hall '-R 3 2"'
_cell_length_a 3.0206
_cell_length_b 3.0206
_cell_length_c 26.7876
_cell_angle_alpha 90.00
_cell_angle_beta 90.00
_cell_angle_gamma 120.00
loop_
_atom_site_label
_atom_site_type_symbol
_atom_site_fract_x
_atom_site_fract_y
_atom_site_fract_z
_atom_site_occupancy
Ga1 Ga 0.0000 0.0000 0.0000 1
Re1 Re 0.0000 0.0000 0.5000 1
Ge1 Ge 0.0000 0.0000 0.0959 1
# ΔE_f: 157 meV per atom
# E above lowest polymorph: 0.000 eV/atom